A geometry-optimized Li3MnSiCO7 structure. Source: the Alexandria database, functional PBE with a Hubbard U.

Cell: 5.0634 8.5448 6.3148 Å, 90.00 90.00 85.83°
Last column: nearest neighbours and their distance in Å.
Fractional positions:
Li (0.7784, 0.1162, 0.2500)  4 O 1.90-2.10
Li (0.2216, 0.8838, 0.7500)  4 O 1.90-2.10
Li (0.2596, 0.2802, 0.0300)  4 O 2.08-2.14
Li (0.2596, 0.2803, 0.4700)  4 O 2.08-2.14
Li (0.7404, 0.7198, 0.5300)  4 O 2.08-2.14
Li (0.7404, 0.7198, 0.9700)  4 O 2.08-2.14
Mn (0.1899, 0.6694, 0.2500)  5 O 1.93-2.16
Mn (0.8101, 0.3306, 0.7500)  5 O 1.93-2.16
Si (0.7204, 0.4222, 0.2500)  4 O 1.63-1.66
Si (0.2796, 0.5778, 0.7500)  4 O 1.63-1.66
C (0.7087, 0.0335, 0.7500)  3 O 1.28-1.32
C (0.2912, 0.9665, 0.2500)  3 O 1.28-1.32
O (0.3863, 0.1031, 0.2500)  1 C 1.29
O (0.6136, 0.8970, 0.7500)  1 C 1.29
O (0.9575, 0.0528, 0.7500)  1 C 1.28
O (0.0425, 0.9472, 0.2500)  1 C 1.28
O (0.5440, 0.1611, 0.7500)  1 C 1.32
O (0.4559, 0.8389, 0.2500)  1 C 1.32
O (0.3961, 0.4395, 0.2500)  1 Si 1.64
O (0.6040, 0.5605, 0.7500)  1 Si 1.64
O (0.1711, 0.4022, 0.7500)  1 Si 1.63
O (0.8290, 0.5978, 0.2500)  1 Si 1.63
O (0.8374, 0.3088, 0.0535)  1 Si 1.66
O (0.8374, 0.3088, 0.4464)  1 Si 1.66
O (0.1626, 0.6912, 0.5535)  1 Si 1.66
O (0.1626, 0.6912, 0.9465)  1 Si 1.66

Properties
The value obtained for the final energy is -6.86 eV per atom. The calculation puts the density at 2777 kg/m³.